Here is a relaxed Rb3Np2TiSe6 crystal from the Alexandria database. Energies are from GGA-PBE.

Properties
As for the crystal system: monoclinic. The space-group type is C2/m, No. 12. The calculation puts the formation energy without anion corrections at -1.197 eV per atom.

```
Rb3Np2TiSe6
1.0
-3.386 5.977 2.091
-0.893 -2.484 -6.677
-4.798 -5.558 3.999
Rb Np Ti Se
3 2 1 6
Direct
0.169 0.831 0.500
0.831 0.169 0.500
0.500 0.500 0.500
0.334 0.666 0.000
0.666 0.334 0.000
0.000 0.000 0.000
0.936 0.621 0.809
0.749 0.749 0.192
0.064 0.379 0.191
0.621 0.936 0.809
0.251 0.251 0.808
0.379 0.064 0.191
```


Here is a relaxed Rb2NpTiSe5 crystal from the Alexandria database. Energies are from GGA-PBE.

Properties
As for the crystal system: orthorhombic. The space-group type is Cmc2_1, No. 36. The calculation puts the formation energy without anion corrections at -1.131 eV per atom.

```
Rb2NpTiSe5
1.0
4.274 0.000 0.000
-2.137 9.865 0.000
0.000 0.000 14.695
Rb Np Ti Se
4 2 2 10
Direct
0.870 0.740 0.832
0.126 0.252 0.684
0.130 0.260 0.332
0.874 0.748 0.184
0.802 0.603 0.529
0.198 0.397 0.029
0.564 0.128 0.926
0.436 0.872 0.426
0.331 0.661 0.009
0.685 0.370 0.892
0.508 0.016 0.790
0.308 0.616 0.651
0.953 0.906 0.512
0.669 0.339 0.509
0.315 0.630 0.392
0.492 0.984 0.290
0.692 0.384 0.151
0.047 0.094 0.012
```